# 1
Computed, not measured: a relaxed SrTh4P5 crystal at the PBE level of DFT.

It has space group C2/m (No. 12), with a = 13.8965 Å, b = 4.1729 Å, c = 10.2596 Å, α = 90.00°, β = 119.63° and γ = 90.00°. Symmetry generates all atoms from Sr at (0.0000, 0.0000, 0.0000), Th at (0.0967, 0.5000, 0.3983), Th at (0.2022, 0.0000, 0.7975), P at (0.0000, 0.0000, 0.5000), P at (0.1078, 0.5000, 0.8958) and P at (0.2023, 0.0000, 0.3079).

The formation energy is -1.476 eV/atom. For the calculated volume, the calculation gives 517.1 Å³/cell. The calculation puts the density of states at the Fermi level at 0.51 states/eV/atom. The value obtained for the spin magnetization is 0.00 μB per formula unit.

# 2
Computed, not measured: a relaxed SrTh3P4 crystal at the PBE level of DFT.

It has space group P6_3/mmc (No. 194), with a = 4.1862 Å, b = 4.1862 Å, c = 27.7030 Å, α = 90.00°, β = 90.00° and γ = 120.00°. Symmetry generates all atoms from Sr at (0.3333, 0.6667, 0.2500), Th at (0.0000, 0.0000, 0.0000), Th at (0.3333, 0.6667, 0.6219), P at (0.0000, 0.0000, 0.1792) and P at (0.3333, 0.6667, 0.0608).

The formation energy is -1.455 eV/atom. For the calculated volume, the calculation gives 420.4 Å³/cell. The calculation puts the density of states at the Fermi level at 0.43 states/eV/atom. The value obtained for the spin magnetization is 0.00 μB per formula unit.

# 3
Computed, not measured: a relaxed Sr2TmThP4 crystal at the PBE level of DFT.

It has space group P2/m (No. 10), with a = 7.2077 Å, b = 4.2112 Å, c = 7.4153 Å, α = 90.00°, β = 109.13° and γ = 90.00°. Symmetry generates all atoms from Sr at (0.0000, 0.0000, 0.0000), Sr at (0.5000, 0.5000, 0.0000), Tm at (0.0000, 0.5000, 0.5000), Th at (0.5000, 0.0000, 0.5000), P at (0.2354, 0.0000, 0.7206) and P at (0.2540, 0.5000, 0.2765).

The formation energy is -1.262 eV/atom. For the calculated volume, the calculation gives 212.6 Å³/cell. The calculation puts the density of states at the Fermi level at 0.95 states/eV/atom. The value obtained for the spin magnetization is 0.00 μB per formula unit.

# 4
Computed, not measured: a relaxed Sr4Th3UP8 crystal at the PBE level of DFT.

It has space group R-3m (No. 166, hexagonal axes), with a = 8.4572 Å, b = 8.4572 Å, c = 20.9862 Å, α = 90.00°, β = 90.00° and γ = 120.00°. Symmetry generates all atoms from Sr at (0.0000, 0.0000, 0.0000), Sr at (0.0000, 0.5000, 0.0000), Th at (0.0000, 0.5000, 0.5000), U at (0.0000, 0.0000, 0.5000), P at (0.0000, 0.0000, 0.2417) and P at (0.0099, 0.5049, 0.2398).

The formation energy is -1.290 eV/atom. For the calculated volume, the calculation gives 1300.0 Å³/cell. The calculation puts the density of states at the Fermi level at 0.45 states/eV/atom. The value obtained for the spin magnetization is 1.78 μB per formula unit.

# 5
Computed, not measured: a relaxed Sr2ThUP4 crystal at the PBE level of DFT.

It has space group P2/m (No. 10), with a = 7.2610 Å, b = 4.1910 Å, c = 7.3775 Å, α = 90.00°, β = 109.12° and γ = 90.00°. Symmetry generates all atoms from Sr at (0.0000, 0.0000, 0.0000), Sr at (0.5000, 0.5000, 0.0000), Th at (0.0000, 0.5000, 0.5000), U at (0.5000, 0.0000, 0.5000), P at (0.2504, 0.0000, 0.7206) and P at (0.2707, 0.5000, 0.2847).

The formation energy is -1.195 eV/atom. For the calculated volume, the calculation gives 212.1 Å³/cell. The calculation puts the density of states at the Fermi level at 0.86 states/eV/atom. The value obtained for the spin magnetization is 1.90 μB per formula unit.

# 6
Computed, not measured: a relaxed Sr2ThZrP4 crystal at the PBE level of DFT.

It has space group P2/m (No. 10), with a = 7.1029 Å, b = 4.1141 Å, c = 7.3520 Å, α = 90.00°, β = 108.69° and γ = 90.00°. Symmetry generates all atoms from Sr at (0.0000, 0.0000, 0.0000), Sr at (0.5000, 0.5000, 0.0000), Th at (0.0000, 0.5000, 0.5000), Zr at (0.5000, 0.0000, 0.5000), P at (0.2554, 0.0000, 0.7199) and P at (0.2751, 0.5000, 0.2860).

The formation energy is -1.272 eV/atom. For the calculated volume, the calculation gives 203.5 Å³/cell. The calculation puts the density of states at the Fermi level at 0.05 states/eV/atom. The value obtained for the spin magnetization is 0.00 μB per formula unit.

# 7
Computed, not measured: a relaxed Sr3Th2ZrP6 crystal at the PBE level of DFT.

It has space group C2/m (No. 12), with a = 7.2070 Å, b = 12.4852 Å, c = 7.3877 Å, α = 90.00°, β = 109.03° and γ = 90.00°. Symmetry generates all atoms from Sr at (0.0000, 0.0000, 0.0000), Sr at (0.0000, 0.3320, 0.0000), Th at (0.0000, 0.1664, 0.5000), Zr at (0.0000, 0.5000, 0.5000), P at (0.2323, 0.3407, 0.7190) and P at (0.2451, 0.5000, 0.2810).

The formation energy is -1.311 eV/atom. For the calculated volume, the calculation gives 628.4 Å³/cell. The calculation puts the density of states at the Fermi level at 0.01 states/eV/atom. The value obtained for the spin magnetization is 0.00 μB per formula unit.

# 8
Computed, not measured: a relaxed SrTi3P crystal at the PBE level of DFT.

It has space group Pm-3m (No. 221), with a = 4.7258 Å, b = 4.7258 Å, c = 4.7258 Å, α = 90.00°, β = 90.00° and γ = 90.00°. Symmetry generates all atoms from Sr at (0.0000, 0.0000, 0.0000), Ti at (0.0000, 0.0000, 0.5000) and P at (0.5000, 0.5000, 0.5000).

The distance to the lowest polymorph of the same formula is 2.043 eV per atom. The formation energy is 2.028 eV/atom. For the calculated volume, the calculation gives 105.5 Å³/cell. The calculation puts the density of states at the Fermi level at 1.77 states/eV/atom. The value obtained for the spin magnetization is 1.43 μB per formula unit.

# 9
Computed, not measured: a relaxed Sr2TiP crystal at the PBE level of DFT.

It has space group I-42d (No. 122), with a = 11.2681 Å, b = 11.2681 Å, c = 4.7940 Å, α = 90.00°, β = 90.00° and γ = 90.00°. Symmetry generates all atoms from Sr at (0.0881, 0.2500, 0.1250), Ti at (0.0000, 0.0000, 0.5000) and P at (0.0000, 0.0000, 0.0000).

The formation energy is -0.168 eV/atom. For the calculated volume, the calculation gives 608.7 Å³/cell. The calculation puts the density of states at the Fermi level at 1.40 states/eV/atom. The value obtained for the spin magnetization is 2.72 μB per formula unit.

# 10
Computed, not measured: a relaxed Sr3TiP crystal at the PBE level of DFT.

It has space group Pm-3m (No. 221), with a = 5.8791 Å, b = 5.8791 Å, c = 5.8791 Å, α = 90.00°, β = 90.00° and γ = 90.00°. Symmetry generates all atoms from Sr at (0.0000, 0.0000, 0.5000), Ti at (0.5000, 0.5000, 0.5000) and P at (0.0000, 0.0000, 0.0000).

The distance to the lowest polymorph of the same formula is 0.000 eV per atom. The formation energy is 0.178 eV/atom. For the calculated volume, the calculation gives 203.2 Å³/cell. The calculation puts the density of states at the Fermi level at 3.59 states/eV/atom. The value obtained for the spin magnetization is 0.50 μB per formula unit.

# 11
Computed, not measured: a relaxed SrTi3P crystal at the PBE level of DFT.

It has space group Pm-3m (No. 221), with a = 4.7826 Å, b = 4.7826 Å, c = 4.7826 Å, α = 90.00°, β = 90.00° and γ = 90.00°. Symmetry generates all atoms from Sr at (0.0000, 0.0000, 0.0000), Ti at (0.0000, 0.5000, 0.5000) and P at (0.5000, 0.5000, 0.5000).

The distance to the lowest polymorph of the same formula is 0.000 eV per atom. The formation energy is -0.015 eV/atom. For the calculated volume, the calculation gives 109.4 Å³/cell. The calculation puts the density of states at the Fermi level at 1.01 states/eV/atom. The value obtained for the spin magnetization is 0.00 μB per formula unit.

# 12
Computed, not measured: a relaxed SrTiPW2 crystal at the PBE level of DFT.

It has space group P4/mmm (No. 123), with a = 4.5362 Å, b = 4.5362 Å, c = 5.2967 Å, α = 90.00°, β = 90.00° and γ = 90.00°. Symmetry generates all atoms from Sr at (0.0000, 0.0000, 0.0000), Ti at (0.5000, 0.5000, 0.0000), P at (0.0000, 0.0000, 0.5000) and W at (0.0000, 0.5000, 0.5000).

The distance to the lowest polymorph of the same formula is 0.000 eV per atom. The formation energy is 0.936 eV/atom. For the calculated volume, the calculation gives 109.0 Å³/cell. The calculation puts the density of states at the Fermi level at 1.97 states/eV/atom. The value obtained for the spin magnetization is 0.00 μB per formula unit.

# 13
Computed, not measured: a relaxed SrTiPW2 crystal at the PBE level of DFT.

It has space group P4/mmm (No. 123), with a = 4.8502 Å, b = 4.8502 Å, c = 4.9857 Å, α = 90.00°, β = 90.00° and γ = 90.00°. Symmetry generates all atoms from Sr at (0.0000, 0.0000, 0.0000), Ti at (0.5000, 0.5000, 0.5000), P at (0.0000, 0.0000, 0.5000) and W at (0.0000, 0.5000, 0.0000).

The distance to the lowest polymorph of the same formula is 2.135 eV per atom. The formation energy is 3.070 eV/atom. For the calculated volume, the calculation gives 117.3 Å³/cell. The calculation puts the density of states at the Fermi level at 1.75 states/eV/atom. The value obtained for the spin magnetization is 0.00 μB per formula unit.